VASP calculation (GGA-PBE) on a geometry-optimized Pm3GeRh3 structure.

a b c (Å): 10.690 4.042 14.941
angles (deg): 90.00 108.76 90.00
Space group C2/m (No. 12)
Asymmetric unit:
Pm 0.015 0.000 0.380 x4
Pm 0.108 0.000 0.926 x4
Pm 0.237 0.000 0.220 x4
Ge 0.232 0.500 0.385 x4
Rh 0.027 0.500 0.233 x4
Rh 0.120 0.500 0.075 x4
Rh 0.158 0.500 0.532 x4

Results
Calculated formation energy = -0.774 eV/atom


VASP calculation (GGA-PBE) on a geometry-optimized KP2RuO structure.

a b c (Å): 5.056 5.056 3.838
angles (deg): 90.00 90.00 90.00
Space group P4/mmm (No. 123)
Asymmetric unit:
K 0.000 0.000 0.000 x1
P 0.000 0.500 0.000 x2
Ru 0.500 0.500 0.500 x1
O 0.000 0.000 0.500 x1

Results
Energy relative to the elements, uncorrected = 2160 meV/atom


VASP calculation (GGA-PBE) on a geometry-optimized La2MgNbN structure.

a b c (Å): 5.327 5.327 4.188
angles (deg): 90.00 90.00 90.00
Space group P4/mmm (No. 123)
Asymmetric unit:
La 0.000 0.500 0.000 x2
Mg 0.000 0.000 0.500 x1
Nb 0.500 0.500 0.500 x1
N 0.500 0.500 0.000 x1

Results
Energy relative to the elements, uncorrected = -486 meV/atom


VASP calculation (GGA-PBE) on a geometry-optimized Tb3DyCd3 structure.

a b c (Å): 10.673 10.710 6.984
angles (deg): 90.00 90.00 90.00
Space group Cmmm (No. 65)
Asymmetric unit:
Tb 0.000 0.240 0.000 x4
Tb 0.238 0.000 0.000 x4
Tb 0.238 0.000 0.500 x4
Dy 0.000 0.240 0.500 x4
Cd 0.000 0.500 0.250 x4
Cd 0.250 0.250 0.251 x8

Results
Calculated formation energy = -0.139 eV/atom


VASP calculation (GGA-PBE) on a geometry-optimized Zr2AlCo3 structure.

a b c (Å): 5.1061 5.1061 7.6998
angles (deg): 90.00 90.00 120.00
Space group P6_3/mmc (No. 194)
Asymmetric unit:
Zr 0.3333 0.6667 0.0604 x4
Al 0.0000 0.0000 0.0000 x2
Co 0.1720 0.3441 0.7500 x6

Results
Calculated formation energy = -0.451 eV/atom


VASP calculation (GGA-PBE) on a geometry-optimized TbPm2Sc structure.

a b c (Å): 6.161 3.556 11.595
angles (deg): 90.00 100.26 90.00
Space group Cm (No. 8)
Asymmetric unit:
Tb 0.000 0.000 0.000 x2
Pm 0.082 0.500 0.742 x2
Pm 0.421 0.000 0.263 x2
Sc 0.169 0.000 0.502 x2

Results
Calculated formation energy = 0.050 eV/atom


VASP calculation (GGA-PBE) on a geometry-optimized TbTm2Mg8 structure.

a b c (Å): 15.858 5.304 7.862
angles (deg): 90.00 119.67 90.00
Space group C2/m (No. 12)
Asymmetric unit:
Tb 0.000 0.000 0.000 x2
Tm 0.214 0.500 0.714 x4
Mg 0.000 0.500 0.295 x4
Mg 0.135 0.000 0.447 x4
Mg 0.135 0.000 0.823 x4
Mg 0.153 0.500 0.153 x4

Results
Calculated formation energy = 0.068 eV/atom


VASP calculation (GGA-PBE) on a geometry-optimized Cs2TaAl structure.

a b c (Å): 8.743 8.743 8.743
angles (deg): 90.00 90.00 90.00
Space group Fm-3m (No. 225)
Asymmetric unit:
Cs 0.250 0.250 0.250 x8
Ta 0.000 0.000 0.000 x4
Al 0.000 0.000 0.500 x4

Results
Calculated formation energy = 1.776 eV/atom


Let's list N(E_F) in order: 0.451, 1.624, 0.959, 1.324, 0.707, 1.667, 0.754, 1.049 states/eV per atom.
Let's list magnetic moment in order: 0.000, 0.000, 1.034, 1.107, 0.000, 0.000, 0.000, 15.893 μB/cell.